(1)
Computed, not measured: a relaxed Zn2CuBr crystal at the PBE level of DFT.

Structure (POSCAR):
```
Zn2CuBr
1.0
-1.8426 1.8426 6.0111
1.8426 -1.8426 6.0111
1.8426 1.8426 -6.0111
Zn Cu Br
2 1 1
direct
0.0000 0.0000 0.0000
0.7500 0.2500 0.5000
0.5000 0.5000 0.0000
0.2500 0.7500 0.5000
```

Values from the calculation:
E_form (uncorrected), meV per atom: 275
VASP energy, eV per atom: -1.80
V, A^3/atom: 20.41

---

(2)
Computed, not measured: a relaxed In5Os4 crystal at the PBE level of DFT.

Structure (POSCAR):
```
In5Os4
1.0
8.0967 0.0000 0.0000
-4.0484 7.0120 0.0000
0.0000 0.0000 5.7184
In Os
10 8
direct
0.0000 0.2957 0.2500
0.0000 0.7043 0.7500
0.2957 0.0000 0.2500
0.2957 0.2957 0.7500
0.3333 0.6667 0.0000
0.3333 0.6667 0.5000
0.6667 0.3333 0.0000
0.6667 0.3333 0.5000
0.7043 0.0000 0.7500
0.7043 0.7043 0.2500
0.0000 0.0000 0.0000
0.0000 0.0000 0.5000
0.0000 0.3662 0.7500
0.0000 0.6338 0.2500
0.3662 0.0000 0.7500
0.3662 0.3662 0.2500
0.6338 0.0000 0.2500
0.6338 0.6338 0.7500
```

Values from the calculation:
VASP energy, eV per atom: -5.82
V, A^3/atom: 18.04
Energy relative to the elements, eV/atom: 0.69

---

(3)
Computed, not measured: a relaxed Cd2Pd3Au5 crystal at the PBE level of DFT.

Structure (POSCAR):
```
Cd2Pd3Au5
1.0
-5.3233 6.9793 2.6717
5.3233 -6.9793 2.6717
5.3233 6.9793 -2.6717
Cd Pd Au
4 6 10
direct
0.1542 0.1113 0.2655
0.3458 0.6113 0.9570
0.6542 0.3887 0.0430
0.8458 0.8887 0.7345
0.2397 0.3725 0.6122
0.2500 0.2500 0.0000
0.2603 0.8725 0.1329
0.7397 0.1275 0.8671
0.7500 0.7500 0.0000
0.7603 0.6275 0.3878
0.1551 0.6322 0.7874
0.2500 0.0028 0.7528
0.2500 0.4972 0.2472
0.2500 0.7500 0.5000
0.3449 0.1322 0.4771
0.6551 0.8678 0.5229
0.7500 0.2500 0.5000
0.7500 0.5028 0.7528
0.7500 0.9972 0.2472
0.8449 0.3678 0.2126
```

Values from the calculation:
VASP energy, eV per atom: -3.33
V, A^3/atom: 19.85
Energy relative to the elements, eV/atom: 0.05

---

(4)
Computed, not measured: a relaxed PuThNi2Sb2 crystal at the PBE level of DFT.

Structure (POSCAR):
```
PuThNi2Sb2
1.0
4.3247 0.0000 0.0000
-2.1624 3.7453 0.0000
0.0000 0.0000 8.3256
Pu Th Ni Sb
1 1 2 2
direct
0.0000 0.0000 0.0000
0.0000 0.0000 0.5000
0.3333 0.6667 0.2820
0.6667 0.3333 0.7180
0.3333 0.6667 0.7647
0.6667 0.3333 0.2353
```

Values from the calculation:
E_form (uncorrected), meV per atom: -648
VASP energy, eV per atom: -7.57
V, A^3/atom: 22.48

---

What is the VASP energy in the first record? -1.80 eV per atom

---

Among the records above, which one has the lowest V? In5Os4